NdTmTl2 | PBE-GGA | relaxed

a = 3.774 Å, b = 3.774 Å, c = 9.993 Å
α = 79.11°, β = 79.11°, γ = 60.00°
Fractional coordinates of all 4 atoms:
Tm1 0.000 0.000 0.000
Tl1 0.253 0.253 0.241
Tl2 0.747 0.747 0.759
Nd1 0.500 0.500 0.500

Output
Total energy, eV/atom: -3.737
DOS(E_F), states/eV/atom: 0.62
Energy of formation, eV per formula unit: -0.98
Total magnetization, μB per formula unit: 0.0
Crystal system: trigonal
Offset from the most stable computed form, eV/atom: 0.106
Density, Mg/m³: 10.0



Nd4Tm4Tl | PBE-GGA | relaxed

a = 4.899 Å, b = 7.992 Å, c = 7.992 Å
α = 84.61°, β = 72.15°, γ = 72.15°
Fractional coordinates of all 9 atoms:
Nd1 0.338 0.000 0.324
Nd2 0.662 0.676 0.000
Nd3 0.338 0.324 0.000
Nd4 0.662 0.000 0.676
Tm1 0.339 0.661 0.661
Tm2 0.661 0.339 0.339
Tm3 0.000 0.661 0.339
Tm4 0.000 0.339 0.661
Tl1 0.000 0.000 0.000

Output
Total energy, eV/atom: -4.405
DOS(E_F), states/eV/atom: 1.43
Energy of formation, eV per formula unit: -0.32
Total magnetization, μB per formula unit: 0.0
Crystal system: tetragonal
Density, Mg/m³: 8.5



NdTm6Tl5 | PBE-GGA | relaxed

a = 5.007 Å, b = 8.680 Å, c = 9.088 Å
α = 118.53°, β = 105.99°, γ = 90.00°
Fractional coordinates of all 12 atoms:
Tl1 0.318 0.318 0.635
Tl2 0.682 0.682 0.365
Tl3 0.649 0.149 0.298
Tl4 0.000 0.500 0.000
Tl5 0.351 0.851 0.702
Tm1 0.830 0.564 0.660
Tm2 0.170 0.904 0.340
Tm3 0.170 0.436 0.340
Tm4 0.830 0.096 0.660
Tm5 0.500 0.722 0.000
Tm6 0.500 0.278 0.000
Nd1 0.000 0.000 0.000

Output
Total energy, eV/atom: -3.861
DOS(E_F), states/eV/atom: 0.96
Energy of formation, eV per formula unit: -2.90
Total magnetization, μB per formula unit: 0.0
Crystal system: orthorhombic
Density, Mg/m³: 11.0



Nd14TmTl | PBE-GGA | relaxed

a = 7.244 Å, b = 7.244 Å, c = 10.343 Å
α = 90.00°, β = 90.00°, γ = 90.01°
Fractional coordinates of all 16 atoms:
Nd1 0.124 0.876 0.755
Nd2 0.626 0.374 0.755
Nd3 0.124 0.374 0.245
Nd4 0.124 0.374 0.755
Nd5 0.124 0.876 0.245
Nd6 0.875 0.125 0.500
Nd7 0.626 0.876 0.245
Nd8 0.375 0.625 0.500
Nd9 0.374 0.125 0.000
Nd10 0.626 0.374 0.245
Nd11 0.875 0.626 0.000
Nd12 0.875 0.625 0.500
Nd13 0.375 0.125 0.500
Nd14 0.626 0.876 0.755
Tl1 0.875 0.125 0.000
Tm1 0.375 0.625 0.000

Output
Total energy, eV/atom: -4.626
DOS(E_F), states/eV/atom: 1.28
Energy of formation, eV per formula unit: -0.43
Total magnetization, μB per formula unit: 0.0
Crystal system: orthorhombic
Density, Mg/m³: 7.3



Nd3Tm7Tl2 | PBE-GGA | relaxed

a = 3.599 Å, b = 5.665 Å, c = 18.317 Å
α = 93.40°, β = 90.00°, γ = 90.00°
Fractional coordinates of all 12 atoms:
Tl1 0.500 0.291 0.710
Tl2 0.500 0.709 0.290
Tm1 0.500 0.258 0.542
Tm2 0.500 0.742 0.458
Tm3 0.500 0.822 0.833
Tm4 0.500 0.178 0.167
Tm5 0.000 0.323 0.850
Tm6 0.000 0.000 0.000
Tm7 0.000 0.677 0.150
Nd1 0.500 0.500 0.000
Nd2 0.000 0.774 0.634
Nd3 0.000 0.226 0.366

Output
Total energy, eV/atom: -4.224
DOS(E_F), states/eV/atom: 1.04
Energy of formation, eV per formula unit: -0.35
Total magnetization, μB per formula unit: 0.0
Crystal system: monoclinic
Density, Mg/m³: 9.0



Nd5TmTl5 | PBE-GGA | relaxed

a = 5.820 Å, b = 9.537 Å, c = 7.207 Å
α = 112.57°, β = 90.00°, γ = 107.77°
Site moments in Bohr magnetons follow the coordinates.
Fractional coordinates of all 11 atoms:
Tm1 0.000 0.000 0.000  -0.01
Nd1 0.000 0.000 0.500  0.10
Nd2 0.690 0.380 0.187  0.01
Nd3 0.639 0.278 0.634  0.07
Nd4 0.361 0.722 0.366  0.07
Nd5 0.310 0.620 0.813  0.01
Tl1 0.840 0.679 0.614  0.00
Tl2 0.160 0.321 0.936  0.00
Tl3 0.160 0.321 0.386  0.00
Tl4 0.500 0.000 0.000  0.00
Tl5 0.840 0.679 0.064  0.00

Output
Total energy, eV/atom: -3.809
DOS(E_F), states/eV/atom: 1.18
Energy of formation, eV per formula unit: -1.76
Total magnetization, μB per formula unit: 0.5
Crystal system: monoclinic
Density, Mg/m³: 9.1



NdTmTl2 | PBE-GGA | relaxed

a = 5.422 Å, b = 5.422 Å, c = 5.422 Å
α = 60.00°, β = 60.00°, γ = 60.00°
Fractional coordinates of all 4 atoms:
Tl1 0.750 0.750 0.750
Tl2 0.250 0.250 0.250
Nd1 0.500 0.500 0.500
Tm1 0.000 0.000 0.000

Output
Total energy, eV/atom: -3.832
DOS(E_F), states/eV/atom: 0.72
Energy of formation, eV per formula unit: -1.36
Total magnetization, μB per formula unit: 0.0
Crystal system: cubic
Offset from the most stable computed form, eV/atom: 0.012
Density, Mg/m³: 10.6



Nd5Tm3Tl2 | PBE-GGA | relaxed

a = 6.914 Å, b = 12.063 Å, c = 12.063 Å
α = 42.23°, β = 73.35°, γ = 73.35°
Fractional coordinates of all 20 atoms:
Nd1 0.250 0.500 0.500
Nd2 0.417 0.833 0.833
Nd3 0.917 0.833 0.833
Nd4 0.083 0.167 0.167
Nd5 0.750 0.500 0.500
Nd6 0.214 0.456 0.116
Nd7 0.714 0.116 0.456
Nd8 0.786 0.544 0.884
Nd9 0.286 0.884 0.544
Nd10 0.583 0.167 0.167
Tl1 0.428 0.825 0.318
Tl2 0.928 0.318 0.825
Tl3 0.572 0.175 0.682
Tl4 0.072 0.682 0.175
Tm1 0.122 0.194 0.563
Tm2 0.878 0.806 0.437
Tm3 0.250 0.000 0.000
Tm4 0.378 0.437 0.806
Tm5 0.750 0.000 0.000
Tm6 0.622 0.563 0.194

Output
Total energy, eV/atom: -4.213
DOS(E_F), states/eV/atom: 0.95
Energy of formation, eV per formula unit: -0.14
Total magnetization, μB per formula unit: 0.0
Crystal system: orthorhombic
Density, Mg/m³: 8.4



Nd3Tm5Tl2 | PBE-GGA | relaxed

a = 6.428 Å, b = 10.564 Å, c = 10.564 Å
α = 94.02°, β = 72.29°, γ = 72.29°
Fractional coordinates of all 20 atoms:
Tl1 0.639 0.008 0.715
Tl2 0.861 0.285 0.992
Tl3 0.139 0.715 0.008
Tl4 0.361 0.992 0.285
Nd1 0.620 0.643 0.116
Nd2 0.750 0.000 0.000
Nd3 0.120 0.116 0.643
Nd4 0.880 0.884 0.357
Nd5 0.380 0.357 0.884
Nd6 0.250 0.000 0.000
Tm1 0.117 0.547 0.220
Tm2 0.995 0.255 0.255
Tm3 0.250 0.500 0.500
Tm4 0.750 0.500 0.500
Tm5 0.005 0.745 0.745
Tm6 0.495 0.255 0.255
Tm7 0.383 0.780 0.453
Tm8 0.617 0.220 0.547
Tm9 0.505 0.745 0.745
Tm10 0.883 0.453 0.780

Output
Total energy, eV/atom: -4.059
DOS(E_F), states/eV/atom: 1.40
Energy of formation, eV per formula unit: 0.80
Total magnetization, μB per formula unit: 0.0
Crystal system: orthorhombic
Density, Mg/m³: 8.7



Nd2Tm2Tl | PBE-GGA | relaxed

a = 5.463 Å, b = 5.463 Å, c = 12.172 Å
α = 90.00°, β = 90.00°, γ = 120.00°
Fractional coordinates of all 10 atoms:
Nd1 0.333 0.667 0.913
Nd2 0.333 0.667 0.587
Nd3 0.667 0.333 0.413
Nd4 0.667 0.333 0.087
Tl1 0.000 0.000 0.250
Tl2 0.000 0.000 0.750
Tm1 0.667 0.333 0.750
Tm2 0.000 0.000 0.500
Tm3 0.000 0.000 0.000
Tm4 0.333 0.667 0.250

Output
Total energy, eV/atom: -4.163
DOS(E_F), states/eV/atom: 1.43
Energy of formation, eV per formula unit: 0.03
Total magnetization, μB per formula unit: 0.0
Crystal system: hexagonal
Offset from the most stable computed form, eV/atom: 0.042
Density, Mg/m³: 8.8



NdTmTl2 | PBE-GGA | relaxed

a = 3.817 Å, b = 3.817 Å, c = 7.685 Å
α = 90.00°, β = 90.00°, γ = 90.00°
Fractional coordinates of all 4 atoms:
Tl1 0.000 0.000 0.765
Tl2 0.000 0.000 0.235
Nd1 0.500 0.500 0.500
Tm1 0.500 0.500 0.000

Output
Total energy, eV/atom: -3.844
DOS(E_F), states/eV/atom: 0.73
Energy of formation, eV per formula unit: -1.40
Total magnetization, μB per formula unit: 0.0
Crystal system: tetragonal
Offset from the most stable computed form, eV/atom: 0.000
Density, Mg/m³: 10.7



Nd5TmTl4 | PBE-GGA | relaxed

a = 3.710 Å, b = 3.710 Å, c = 22.234 Å
α = 90.00°, β = 90.00°, γ = 90.00°
Fractional coordinates of all 10 atoms:
Tl1 0.000 0.000 0.208
Tl2 0.000 0.000 0.598
Tl3 0.000 0.000 0.792
Tl4 0.000 0.000 0.402
Nd1 0.500 0.500 0.889
Nd2 0.500 0.500 0.305
Nd3 0.500 0.500 0.500
Nd4 0.500 0.500 0.111
Nd5 0.500 0.500 0.695
Tm1 0.000 0.000 0.000

Output
Total energy, eV/atom: -4.068
DOS(E_F), states/eV/atom: 1.22
Energy of formation, eV per formula unit: -2.90
Total magnetization, μB per formula unit: 0.0
Crystal system: tetragonal
Offset from the most stable computed form, eV/atom: 0.000
Density, Mg/m³: 9.3